1.
! Cd4In4Pb3 (GGA-PBE, relaxed); values from VASP
&SYSTEM
  ibrav = 0, nat = 11, ntyp = 3
/
ATOMIC_SPECIES
Cd 112.41 Cd.upf
In 114.82 In.upf
Pb 207.20 Pb.upf
CELL_PARAMETERS angstrom
3.527 0.000 0.000
0.128 9.394 0.000
1.607 3.298 9.181
ATOMIC_POSITIONS angstrom
Cd 0.818 4.316 4.199
Cd 0.983 7.498 0.062
Cd 4.279 5.195 9.120
Cd 4.444 8.376 4.982
In 0.977 9.828 2.044
In 0.950 4.100 1.239
In 4.313 8.592 7.943
In 4.286 2.864 7.138
Pb 2.590 5.911 6.427
Pb 2.567 1.649 4.591
Pb 2.673 6.781 2.754
! D(E_F) = 4.2 states/eV/cell
! Space group = P-1
! E_form = 0.06 eV per atom

=====

2.
! Pr3ZnCu (GGA-PBE, relaxed); values from VASP
&SYSTEM
  ibrav = 0, nat = 10, ntyp = 3
/
ATOMIC_SPECIES
Pr 140.91 Pr.upf
Zn 65.41 Zn.upf
Cu 63.55 Cu.upf
CELL_PARAMETERS angstrom
2.609 -9.959 0.000
2.609 9.959 0.000
0.000 0.000 5.224
ATOMIC_POSITIONS angstrom
Pr 2.609 8.609 3.918
Pr 2.609 4.998 3.918
Pr 2.609 1.393 3.918
Pr 2.609 -1.393 1.306
Pr 2.609 -4.998 1.306
Pr 2.609 -8.609 1.306
Zn 2.609 6.816 1.306
Zn 2.609 -6.816 3.918
Cu 2.609 3.218 1.306
Cu 2.609 -3.218 3.918
! D(E_F) = 10.4 states/eV/cell
! Space group = Cmcm
! E_form = -0.16 eV per atom
! Energy above the most stable polymorph in this dataset = 0.0 kJ/mol of formula units

=====

3.
! Fe3BiIr (GGA-PBE, relaxed); values from VASP
&SYSTEM
  ibrav = 0, nat = 5, ntyp = 3
/
ATOMIC_SPECIES
Fe 55.84 Fe.upf
Bi 208.98 Bi.upf
Ir 192.22 Ir.upf
CELL_PARAMETERS angstrom
4.707 0.000 0.000
0.000 4.707 0.000
0.000 0.000 4.707
ATOMIC_POSITIONS angstrom
Fe 0.000 0.000 2.354
Fe 0.000 2.354 0.000
Fe 2.354 0.000 0.000
Bi 2.354 2.354 2.354
Ir 0.000 0.000 0.000
! D(E_F) = 7.1 states/eV/cell
! Space group = Pm-3m
! E_form = 0.99 eV per atom
! Energy above the most stable polymorph in this dataset = 0.0 kJ/mol of formula units

=====

4.
! PaCrAgS4 (GGA-PBE, relaxed); values from VASP
&SYSTEM
  ibrav = 0, nat = 14, ntyp = 4
/
ATOMIC_SPECIES
Pa 231.04 Pa.upf
Cr 52.00 Cr.upf
Ag 107.87 Ag.upf
S 32.06 S.upf
CELL_PARAMETERS angstrom
-3.745 4.081 4.981
3.745 -4.081 4.981
3.745 4.081 -4.981
ATOMIC_POSITIONS angstrom
Pa 0.000 0.000 0.000
Pa 0.000 4.081 0.000
Cr -1.873 2.041 2.491
Cr 1.873 2.041 2.491
Ag 3.745 2.041 -1.830
Ag 0.000 2.041 6.812
S 1.764 2.041 0.003
S 1.982 -2.041 4.984
S 3.745 0.415 2.360
S 0.000 0.415 2.622
S 3.745 3.666 2.360
S 0.000 3.666 2.622
S 1.764 6.122 -0.003
S 1.982 2.041 4.979
! Raw formation energy = -0.9663 eV per atom
! D(E_F) = 7.2 states/eV/cell
! Space group = Imma

=====

5.
! LiLa2TeN (GGA-PBE, relaxed); values from VASP
&SYSTEM
  ibrav = 0, nat = 5, ntyp = 4
/
ATOMIC_SPECIES
Li 6.94 Li.upf
La 138.91 La.upf
Te 127.60 Te.upf
N 14.01 N.upf
CELL_PARAMETERS angstrom
5.116 0.000 0.000
0.000 5.116 0.000
0.000 0.000 4.325
ATOMIC_POSITIONS angstrom
Li 0.000 0.000 0.000
La 0.000 2.558 2.162
La 2.558 0.000 2.162
Te 2.558 2.558 0.000
N 0.000 0.000 2.162
! Raw formation energy = -1.0771 eV per atom
! D(E_F) = 3.0 states/eV/cell
! Space group = P4/mmm

=====

6.
! Cr2HOs (GGA-PBE, relaxed); values from VASP
&SYSTEM
  ibrav = 0, nat = 4, ntyp = 3
/
ATOMIC_SPECIES
Cr 52.00 Cr.upf
H 1.01 H.upf
Os 190.23 Os.upf
CELL_PARAMETERS angstrom
0.000 2.840 2.840
2.840 0.000 2.840
2.840 2.840 0.000
ATOMIC_POSITIONS angstrom
Cr 1.420 1.420 1.420
Cr 4.260 4.260 4.260
H 0.000 0.000 0.000
Os 2.840 2.840 2.840
! D(E_F) = 6.3 states/eV/cell
! Space group = Fm-3m
! Energy above the most stable polymorph in this dataset = 279.7 kJ/mol of formula units

=====

7.
! Ce6SiOs2 (GGA-PBE, relaxed); values from VASP
&SYSTEM
  ibrav = 0, nat = 9, ntyp = 3
/
ATOMIC_SPECIES
Ce 140.12 Ce.upf
Si 28.09 Si.upf
Os 190.23 Os.upf
CELL_PARAMETERS angstrom
3.085 -4.611 0.000
3.085 4.611 0.000
-1.364 0.000 7.428
ATOMIC_POSITIONS angstrom
Ce 0.919 2.939 6.234
Ce 0.852 0.000 4.559
Ce 3.887 2.939 1.195
Ce 0.919 -2.939 6.234
Ce 3.954 0.000 2.869
Ce 3.887 -2.939 1.195
Si 3.085 0.000 0.000
Os 2.403 2.293 3.714
Os 2.403 -2.293 3.714
! Raw formation energy = -0.2472 eV per atom
! D(E_F) = 19.0 states/eV/cell
! Space group = C2/m
! Energy above the most stable polymorph in this dataset = 16.2 kJ/mol of formula units

=====

8.
! LiPm2GaTe5 (GGA-PBE, relaxed); values from VASP
&SYSTEM
  ibrav = 0, nat = 18, ntyp = 4
/
ATOMIC_SPECIES
Li 6.94 Li.upf
Pm 145.00 Pm.upf
Ga 69.72 Ga.upf
Te 127.60 Te.upf
CELL_PARAMETERS angstrom
2.132 -9.658 0.000
2.132 9.658 0.000
0.000 0.000 12.811
ATOMIC_POSITIONS angstrom
Li 2.132 5.594 6.406
Li 2.132 -5.594 0.000
Pm 2.132 7.378 2.080
Pm 2.132 7.114 10.069
Pm 2.132 -7.114 3.664
Pm 2.132 -7.378 8.486
Ga 2.132 1.424 12.035
Ga 2.132 -1.424 5.630
Te 2.132 8.816 7.127
Te 2.132 4.078 1.915
Te 2.132 3.626 10.573
Te 2.132 2.786 6.132
Te 2.132 0.001 3.382
Te 2.132 -0.001 9.788
Te 2.132 -2.786 12.538
Te 2.132 -3.626 4.168
Te 2.132 -4.078 8.320
Te 2.132 -8.816 0.721
! Raw formation energy = -1.0495 eV per atom
! Space group = Cmc2_1

=====

The following calculated total energy values (in eV/atom) correspond, in order, to the records above: -2.28, -4.10, -6.64, -6.46, -5.72, -7.71, -7.30, -4.40.